# 1
Material: InBF3
Method: DFT, PBE-GGA
State: optimized geometry Values from VASP.

Structure (Quantum ESPRESSO input):
```
&SYSTEM
  ibrav = 0, nat = 10, ntyp = 3
/
ATOMIC_SPECIES
In 114.82 In.upf
B 10.81 B.upf
F 19.00 F.upf
CELL_PARAMETERS angstrom
0.021 1.841 -2.059
-3.043 -3.674 -3.318
-8.688 3.485 4.879
ATOMIC_POSITIONS crystal
In 0.023 0.254 0.047
In 0.977 0.746 0.953
B 0.683 0.754 0.367
B 0.317 0.246 0.633
F 0.160 0.622 0.321
F 0.840 0.378 0.679
F 0.347 0.050 0.695
F 0.653 0.950 0.305
F 0.253 0.255 0.507
F 0.747 0.745 0.493
```

Summary:
**Space group**: C2/m
**Size of the total moment**: 0.000 μB/atom
**Energy relative to the lowest polymorph listed for this composition**: 0.000 eV/atom
**Electronic total energy**: -4.975 eV/atom



# 2
Material: LiInB2F8
Method: DFT, PBE-GGA
State: optimized geometry Values from VASP.

Structure (Quantum ESPRESSO input):
```
&SYSTEM
  ibrav = 0, nat = 12, ntyp = 4
/
ATOMIC_SPECIES
Li 6.94 Li.upf
In 114.82 In.upf
B 10.81 B.upf
F 19.00 F.upf
CELL_PARAMETERS angstrom
-4.986 -0.143 0.223
2.722 -1.997 3.679
-0.030 6.893 3.763
ATOMIC_POSITIONS crystal
Li 0.000 0.000 0.500
In 0.000 0.000 0.000
B 0.667 0.333 0.285
B 0.333 0.667 0.715
F 0.333 0.667 0.898
F 0.370 0.263 0.342
F 0.737 0.107 0.342
F 0.667 0.333 0.102
F 0.263 0.893 0.658
F 0.630 0.737 0.658
F 0.107 0.370 0.658
F 0.893 0.630 0.342
```

Summary:
**Space group**: P-3
**Size of the total moment**: 0.000 μB/atom
**Electronic total energy**: -5.510 eV/atom



# 3
Material: MgIn2BF
Method: DFT, PBE-GGA
State: optimized geometry Values from VASP.

Structure (Quantum ESPRESSO input):
```
&SYSTEM
  ibrav = 0, nat = 5, ntyp = 4
/
ATOMIC_SPECIES
Mg 24.30 Mg.upf
F 19.00 F.upf
B 10.81 B.upf
In 114.82 In.upf
CELL_PARAMETERS angstrom
-0.675 -4.826 2.042
3.632 -0.021 1.150
-1.446 2.150 4.605
ATOMIC_POSITIONS crystal
Mg 0.000 0.500 0.000
F 0.000 0.000 0.000
B 0.500 0.500 0.500
In 0.000 0.000 0.500
In 0.500 0.000 0.000
```

Summary:
**Space group**: P4/mmm
**Size of the total moment**: 0.000 μB/atom
**Electronic total energy**: -2.989 eV/atom



| no. | uncorrected formation energy (kcal/mol of atoms) |
| --- | --- |
| 1 | -45.4 |
| 2 | -63.7 |
| 3 | 3.1 |